A plane-wave DFT calculation with GGA-PBE was carried out for ZrMo2I after structural relaxation.

Cell lengths 11.0023, 11.0023, 11.0023 Å; angles 159.26, 159.26, 29.50 degrees
Fractional coordinates of all 8 atoms:
Zr  0.0000  0.0000  0.0000
Zr  0.7500  0.2500  0.5000
Mo  0.0894  0.6250  0.9644
Mo  0.3750  0.3394  0.4644
Mo  0.6606  0.1250  0.0356
Mo  0.8750  0.9106  0.5356
I  0.2500  0.7500  0.5000
I  0.5000  0.5000  0.0000

Output
For the total energy, the calculation gives -7.074 eV/atom. The value obtained for the density of states at the Fermi level is 7.0 states/eV/cell. The uncorrected formation energy is 0.866 eV/atom.